# 1
# FeTe2Pb

FeTe2Pb after structural relaxation (PBE-GGA, Alexandria via LeMat-Bulk).

Results
**SG**: C2/m
**D(E_F)**: 6.63 states/eV per cell
**Formation energy without anion corrections**: 37.5 kJ/mol of atoms
**Density**: 7.5 Mg/m³
**Calculated volume**: 28.632 Å³ per atom
**E_tot**: -16.9 eV per cell
**Spin magnetization**: 3.205 μB/f.u.

POSCAR file:
```
FeTe2Pb
1.0
3.001 -4.376 0.000
3.001 4.376 0.000
-2.991 0.000 4.360
Fe Te Pb
1 2 1
direct
0.000 0.000 0.000 Fe
0.000 0.500 0.500 Te
0.500 0.000 0.500 Te
0.500 0.500 0.000 Pb
```

=====

# 2
# Ac2PdS

Ac2PdS after structural relaxation (PBE-GGA, Alexandria via LeMat-Bulk).

Results
**SG**: R-3m
**D(E_F)**: 1.73 states/eV per cell
**Excess energy over the best structure of this formula in the dataset**: 0.00 eV per formula unit
**Formation energy without anion corrections**: -127.7 kJ/mol of atoms
**Density**: 8.1 Mg/m³
**Calculated volume**: 30.536 Å³ per atom
**E_tot**: -22.8 eV per cell
**Spin magnetization**: 0.000 μB/f.u.

POSCAR file:
```
Ac2PdS
1.0
2.146 1.239 7.655
-2.146 1.239 7.655
0.000 -2.478 7.655
Ac Pd S
2 1 1
direct
0.247 0.247 0.247 Ac
0.753 0.753 0.753 Ac
0.500 0.500 0.500 Pd
0.000 0.000 0.000 S
```

=====

# 3
# BaNiGe2Pt

BaNiGe2Pt after structural relaxation (PBE-GGA, Alexandria via LeMat-Bulk).

Results
**SG**: I-4m2
**D(E_F)**: 3.63 states/eV per cell
**Density**: 8.2 Mg/m³
**Calculated volume**: 21.848 Å³ per atom
**E_tot**: -25.9 eV per cell
**Spin magnetization**: 0.000 μB/f.u.

POSCAR file:
```
BaNiGe2Pt
1.0
-2.170 2.170 5.802
2.170 -2.170 5.802
2.170 2.170 -5.802
Ba Ni Ge Pt
1 1 2 1
direct
0.000 0.000 0.000 Ba
0.750 0.250 0.500 Ni
0.351 0.351 0.000 Ge
0.649 0.649 0.000 Ge
0.250 0.750 0.500 Pt
```

=====

# 4
# La2ZrAs

La2ZrAs after structural relaxation (PBE-GGA, Alexandria via LeMat-Bulk).

Results
**SG**: F-43m
**D(E_F)**: 5.95 states/eV per cell
**Density**: 7.3 Mg/m³
**Calculated volume**: 25.418 Å³ per atom
**E_tot**: -23.6 eV per cell
**Spin magnetization**: 0.992 μB/f.u.

POSCAR file:
```
La2ZrAs
1.0
0.000 3.704 3.704
3.704 0.000 3.704
3.704 3.704 0.000
La Zr As
2 1 1
direct
0.000 0.000 0.000 La
0.250 0.250 0.250 La
0.750 0.750 0.750 Zr
0.500 0.500 0.500 As
```

=====

# 5
# CeVIr

CeVIr after structural relaxation (PBE-GGA, Alexandria via LeMat-Bulk).

Results
**SG**: I4mm
**D(E_F)**: 4.44 states/eV per cell
**Excess energy over the best structure of this formula in the dataset**: 0.00 eV per formula unit
**Density**: 11.7 Mg/m³
**Calculated volume**: 18.190 Å³ per atom
**E_tot**: -24.7 eV per cell
**Spin magnetization**: 0.000 μB/f.u.

POSCAR file:
```
CeVIr
1.0
-1.509 1.509 5.992
1.509 -1.509 5.992
1.509 1.509 -5.992
Ce V Ir
1 1 1
direct
0.000 0.000 0.000 Ce
0.691 0.691 0.000 V
0.303 0.303 0.000 Ir
```

=====

# 6
# Ta2CoTc

Ta2CoTc after structural relaxation (PBE-GGA, Alexandria via LeMat-Bulk).

Results
**SG**: P4mm
**D(E_F)**: 4.44 states/eV per cell
**Excess energy over the best structure of this formula in the dataset**: 0.79 eV per formula unit
**Density**: 13.9 Mg/m³
**Calculated volume**: 15.543 Å³ per atom
**E_tot**: -41.5 eV per cell
**Spin magnetization**: 1.370 μB/f.u.

POSCAR file:
```
Ta2CoTc
1.0
3.194 0.000 0.000
0.000 3.194 0.000
0.000 0.000 6.095
Ta Co Tc
2 1 1
direct
0.000 0.000 0.000 Ta
0.500 0.500 0.293 Ta
0.500 0.500 0.783 Co
0.000 0.000 0.527 Tc
```

=====

# 7
# BaSrSe2

BaSrSe2 after structural relaxation (PBE-GGA, Alexandria via LeMat-Bulk).

Results
**SG**: R-3m
**D(E_F)**: 0.46 states/eV per cell
**Excess energy over the best structure of this formula in the dataset**: 2.80 eV per formula unit
**Formation energy without anion corrections**: -130.3 kJ/mol of atoms
**Density**: 3.3 Mg/m³
**Calculated volume**: 48.778 Å³ per atom
**E_tot**: -16.0 eV per cell
**Spin magnetization**: 0.000 μB/f.u.

POSCAR file:
```
BaSrSe2
1.0
2.507 1.448 8.960
-2.507 1.448 8.960
0.000 -2.895 8.960
Ba Sr Se
1 1 2
direct
0.000 0.000 0.000 Ba
0.500 0.500 0.500 Sr
0.395 0.395 0.395 Se
0.605 0.605 0.605 Se
```

=====

# 8
# Si2SnOsRh

Si2SnOsRh after structural relaxation (PBE-GGA, Alexandria via LeMat-Bulk).

Results
**SG**: P4/mmm
**D(E_F)**: 4.01 states/eV per cell
**Formation energy without anion corrections**: 62.9 kJ/mol of atoms
**Density**: 7.3 Mg/m³
**Calculated volume**: 21.268 Å³ per atom
**E_tot**: -30.2 eV per cell
**Spin magnetization**: 0.000 μB/f.u.

POSCAR file:
```
Si2SnOsRh
1.0
4.506 0.000 0.000
0.000 4.506 0.000
0.000 0.000 5.238
Si Sn Os Rh
2 1 1 1
direct
0.000 0.500 0.000 Si
0.500 0.000 0.000 Si
0.000 0.000 0.500 Sn
0.000 0.000 0.000 Os
0.500 0.500 0.500 Rh
```

=====

# 9
# Ga3PtPb2Au12

Ga3PtPb2Au12 after structural relaxation (PBE-GGA, Alexandria via LeMat-Bulk).

Results
**SG**: R-3m
**D(E_F)**: 10.80 states/eV per cell
**Density**: 12.7 Mg/m³
**Calculated volume**: 23.071 Å³ per atom
**E_tot**: -59.9 eV per cell
**Spin magnetization**: 0.000 μB/f.u.

POSCAR file:
```
Ga3PtPb2Au12
1.0
4.128 2.383 7.037
-4.128 2.383 7.037
0.000 -4.766 7.037
Ga Pt Pb Au
3 1 2 12
direct
0.000 0.500 0.500 Ga
0.500 0.000 0.500 Ga
0.500 0.500 0.000 Ga
0.500 0.500 0.500 Pt
0.128 0.128 0.128 Pb
0.872 0.872 0.872 Pb
0.108 0.630 0.630 Au
0.119 0.119 0.636 Au
0.119 0.636 0.119 Au
0.364 0.881 0.881 Au
0.370 0.370 0.892 Au
0.370 0.892 0.370 Au
0.630 0.108 0.630 Au
0.630 0.630 0.108 Au
0.636 0.119 0.119 Au
0.881 0.364 0.881 Au
0.881 0.881 0.364 Au
0.892 0.370 0.370 Au
```

=====

# 10
# Sb5Au

Sb5Au after structural relaxation (PBE-GGA, Alexandria via LeMat-Bulk).

Results
**SG**: P4/mmm
**D(E_F)**: 4.30 states/eV per cell
**Excess energy over the best structure of this formula in the dataset**: 1.33 eV per formula unit
**Formation energy without anion corrections**: 22.8 kJ/mol of atoms
**Density**: 8.6 Mg/m³
**Calculated volume**: 25.999 Å³ per atom
**E_tot**: -22.5 eV per cell
**Spin magnetization**: 0.000 μB/f.u.

POSCAR file:
```
Sb5Au
1.0
3.225 0.000 0.000
0.000 3.225 0.000
0.000 0.000 15.000
Sb Au
5 1
direct
0.000 0.000 0.000 Sb
0.000 0.000 0.360 Sb
0.000 0.000 0.640 Sb
0.500 0.500 0.177 Sb
0.500 0.500 0.823 Sb
0.500 0.500 0.500 Au
```

=====

# 11
# Zr2ScRh

Zr2ScRh after structural relaxation (PBE-GGA, Alexandria via LeMat-Bulk).

Results
**SG**: C2/m
**D(E_F)**: 3.87 states/eV per cell
**Density**: 6.9 Mg/m³
**Calculated volume**: 19.784 Å³ per atom
**E_tot**: -31.7 eV per cell
**Spin magnetization**: 0.000 μB/f.u.

POSCAR file:
```
Zr2ScRh
1.0
2.732 -4.874 0.000
2.732 4.874 0.000
-0.924 0.000 2.972
Zr Sc Rh
2 1 1
direct
0.000 0.500 0.000 Zr
0.500 0.000 0.000 Zr
0.000 0.000 0.500 Sc
0.500 0.500 0.500 Rh
```

=====

# 12
# LiLa2PmSe5

LiLa2PmSe5 after structural relaxation (PBE-GGA, Alexandria via LeMat-Bulk).

Results
**SG**: Cmc2_1
**Formation energy without anion corrections**: -177.7 kJ/mol of atoms
**Density**: 5.8 Mg/m³
**Calculated volume**: 26.147 Å³ per atom
**E_tot**: -101.0 eV per cell
**Spin magnetization**: 0.000 μB/f.u.

POSCAR file:
```
LiLa2PmSe5
1.0
2.120 -8.778 0.000
2.120 8.778 0.000
0.000 0.000 12.647
Li La Pm Se
2 4 2 10
direct
0.014 0.986 0.500 Li
0.986 0.014 0.000 Li
0.377 0.623 0.317 La
0.391 0.609 0.703 La
0.609 0.391 0.203 La
0.623 0.377 0.817 La
0.303 0.697 0.020 Pm
0.697 0.303 0.520 Pm
0.001 0.999 0.302 Se
0.137 0.863 0.018 Se
0.192 0.808 0.360 Se
0.211 0.789 0.681 Se
0.456 0.544 0.090 Se
0.544 0.456 0.590 Se
0.789 0.211 0.181 Se
0.808 0.192 0.860 Se
0.863 0.137 0.518 Se
0.999 0.001 0.802 Se
```

=====

# 13
# ErNi2Au

ErNi2Au after structural relaxation (PBE-GGA, Alexandria via LeMat-Bulk).

Results
**SG**: P4/mmm
**D(E_F)**: 1.14 states/eV per cell
**Density**: 12.6 Mg/m³
**Calculated volume**: 15.831 Å³ per atom
**E_tot**: -21.1 eV per cell
**Spin magnetization**: 0.000 μB/f.u.

POSCAR file:
```
ErNi2Au
1.0
4.112 0.000 0.000
0.000 4.112 0.000
0.000 0.000 3.745
Er Ni Au
1 2 1
direct
0.000 0.000 0.000 Er
0.000 0.500 0.500 Ni
0.500 0.000 0.500 Ni
0.500 0.500 0.000 Au
```